Entry a
Entry from Alexandria: Zn2AuN after structural relaxation (GGA-PBE).

The structure belongs to space group Fm-3m (No. 225); the cell edges are 6.0658, 6.0658 and 6.0658 Å and the angles 90.00°, 90.00° and 90.00°. The asymmetric unit holds Zn at (0.2500, 0.2500, 0.2500), Au at (0.0000, 0.0000, 0.0000) and N at (0.0000, 0.0000, 0.5000).

Its size of the total moment is 0.00 μB/atom.

Entry b
Entry from Alexandria: Zn2AuN after structural relaxation (GGA-PBE).

The structure belongs to space group I-42d (No. 122); the cell edges are 5.4769, 5.4769 and 9.2406 Å and the angles 90.00°, 90.00° and 90.00°. The asymmetric unit holds Zn at (0.1296, 0.2500, 0.1250), Au at (0.0000, 0.0000, 0.5000) and N at (0.0000, 0.0000, 0.0000).

Its size of the total moment is 0.00 μB/atom.

Entry c
Entry from Alexandria: Zn2AuN after structural relaxation (GGA-PBE).

The structure belongs to space group R-3m (No. 166, hexagonal axes); the cell edges are 3.0948, 3.0948 and 22.1463 Å and the angles 90.00°, 90.00° and 120.00°. The asymmetric unit holds Zn at (0.0000, 0.0000, 0.1182), Au at (0.0000, 0.0000, 0.0000) and N at (0.0000, 0.0000, 0.5000).

Its size of the total moment is 0.00 μB/atom.

Top of the stability list: entry b, leading by 16.7 kJ/mol of atoms.

Entry a
Entry from Alexandria: ZnAu2N after structural relaxation (GGA-PBE).

The structure belongs to space group Fm-3m (No. 225); the cell edges are 6.1668, 6.1668 and 6.1668 Å and the angles 90.00°, 90.00° and 90.00°. The asymmetric unit holds Zn at (0.0000, 0.0000, 0.0000), Au at (0.2500, 0.2500, 0.2500) and N at (0.0000, 0.0000, 0.5000).

Its size of the total moment is 0.19 μB/atom.

Entry b
Entry from Alexandria: ZnAu2N after structural relaxation (GGA-PBE).

The structure belongs to space group I-42d (No. 122); the cell edges are 5.0473, 5.0473 and 12.1848 Å and the angles 90.00°, 90.00° and 90.00°. The asymmetric unit holds Zn at (0.0000, 0.0000, 0.0000), Au at (0.1325, 0.2500, 0.6250) and N at (0.0000, 0.0000, 0.5000).

Its size of the total moment is 0.00 μB/atom.

Top of the stability list: entry b, leading by 23.9 kJ/mol of atoms.

Entry a
Entry from Alexandria: ZrAuN after structural relaxation (GGA-PBE).

The structure belongs to space group P4/nmm (No. 129, origin choice 2); the cell edges are 3.8612, 3.8612 and 6.6344 Å and the angles 90.00°, 90.00° and 90.00°. The asymmetric unit holds Zr at (0.2500, 0.2500, 0.1430), Au at (0.2500, 0.2500, 0.5759) and N at (0.2500, 0.7500, 0.0000).

Its size of the total moment is 0.00 μB/atom.

Entry b
Entry from Alexandria: ZrAuN after structural relaxation (GGA-PBE).

The structure belongs to space group Cmce (No. 64); the cell edges are 12.6462, 5.5780 and 5.5897 Å and the angles 90.00°, 90.00° and 90.00°. The asymmetric unit holds Zr at (0.1791, 0.0000, 0.0000), Au at (0.0000, 0.1731, 0.3262) and N at (0.2500, 0.2495, 0.2500).

Its size of the total moment is 0.00 μB/atom.

Top of the stability list: entry b, leading by 4.3 kJ/mol of atoms.

Entry a
Entry from Alexandria: NaAu2 after structural relaxation (GGA-PBE).

The structure belongs to space group Fd-3m (No. 227, origin choice 2); the cell edges are 7.9418, 7.9418 and 7.9418 Å and the angles 90.00°, 90.00° and 90.00°. The asymmetric unit holds Na at (0.1250, 0.1250, 0.1250) and Au at (0.0000, 0.0000, 0.5000).

Its size of the total moment is 0.00 μB/atom.

Entry b
Entry from Alexandria: NaAu2 after structural relaxation (GGA-PBE).

The structure belongs to space group I4/mmm (No. 139); the cell edges are 3.6527, 3.6527 and 8.9564 Å and the angles 90.00°, 90.00° and 90.00°. The asymmetric unit holds Na at (0.0000, 0.0000, 0.0000) and Au at (0.0000, 0.0000, 0.3285).

Its size of the total moment is 0.00 μB/atom.

Top of the stability list: entry a, leading by 21.0 kJ/mol of atoms.

Entry a
Entry from Alexandria: NaAu6 after structural relaxation (GGA-PBE).

The structure belongs to space group Pnma (No. 62); the cell edges are 9.1828, 5.6178 and 11.0467 Å and the angles 90.00°, 90.00° and 90.00°. The asymmetric unit holds Na at (0.2373, 0.2500, 0.0649), Au at (0.0564, 0.0064, 0.3094), Au at (0.0660, 0.7500, 0.0824), Au at (0.1262, 0.2500, 0.5232), Au at (0.1547, 0.7500, 0.8427) and Au at (0.1878, 0.2500, 0.7758).

Its size of the total moment is 0.00 μB/atom.

Entry b
Entry from Alexandria: NaAu6 after structural relaxation (GGA-PBE).

The structure belongs to space group Pm-3m (No. 221); the cell edges are 6.5236, 6.5236 and 6.5236 Å and the angles 90.00°, 90.00° and 90.00°. The asymmetric unit holds Na at (0.0000, 0.0000, 0.0000) and Au at (0.1973, 0.5000, 0.5000).

Its size of the total moment is 0.00 μB/atom.

Entry c
Entry from Alexandria: NaAu6 after structural relaxation (GGA-PBE).

The structure belongs to space group Im-3m (No. 229); the cell edges are 7.5225, 7.5225 and 7.5225 Å and the angles 90.00°, 90.00° and 90.00°. The asymmetric unit holds Na at (0.0000, 0.0000, 0.0000) and Au at (0.0000, 0.2500, 0.5000).

Its size of the total moment is 0.00 μB/atom.

Top of the stability list: entry a, leading by 39.2 kJ/mol of atoms.

Entry a
Entry from Alexandria: Na8Au3 after structural relaxation (GGA-PBE).

The structure belongs to space group R-3m (No. 166, hexagonal axes); the cell edges are 5.1542, 5.1542 and 34.8443 Å and the angles 90.00°, 90.00° and 120.00°. The asymmetric unit holds Na at (0.0000, 0.0000, 0.0913), Na at (0.0000, 0.0000, 0.1830), Na at (0.0000, 0.0000, 0.2752), Na at (0.0000, 0.0000, 0.3656), Au at (0.0000, 0.0000, 0.0000) and Au at (0.0000, 0.0000, 0.4577).

Its size of the total moment is 0.00 μB/atom.

Entry b
Entry from Alexandria: Na8Au3 after structural relaxation (GGA-PBE).

The structure belongs to space group R-3 (No. 148, hexagonal axes); the cell edges are 9.7380, 9.7380 and 12.6373 Å and the angles 90.00°, 90.00° and 120.00°. The asymmetric unit holds Na at (0.0000, 0.0000, 0.1434), Na at (0.0656, 0.5970, 0.2761) and Au at (0.0000, 0.5000, 0.5000).

Its size of the total moment is 0.00 μB/atom.

Top of the stability list: entry a, leading by 5.9 kJ/mol of atoms.

Entry a
Entry from Alexandria: NaNb3Au after structural relaxation (GGA-PBE).

The structure belongs to space group Pm-3m (No. 221); the cell edges are 5.0673, 5.0673 and 5.0673 Å and the angles 90.00°, 90.00° and 90.00°. The asymmetric unit holds Na at (0.0000, 0.0000, 0.0000), Nb at (0.0000, 0.5000, 0.5000) and Au at (0.5000, 0.5000, 0.5000).

Its size of the total moment is 0.00 μB/atom.

Entry b
Entry from Alexandria: NaNb3Au after structural relaxation (GGA-PBE).

The structure belongs to space group Pm-3m (No. 221); the cell edges are 4.6511, 4.6511 and 4.6511 Å and the angles 90.00°, 90.00° and 90.00°. The asymmetric unit holds Na at (0.0000, 0.0000, 0.0000), Nb at (0.0000, 0.0000, 0.5000) and Au at (0.5000, 0.5000, 0.5000).

Its size of the total moment is 0.00 μB/atom.

Top of the stability list: entry a, leading by 39.8 kJ/mol of atoms.

Entry a
Entry from Alexandria: NaNb2Au after structural relaxation (GGA-PBE).

The structure belongs to space group Fm-3m (No. 225); the cell edges are 6.6684, 6.6684 and 6.6684 Å and the angles 90.00°, 90.00° and 90.00°. The asymmetric unit holds Na at (0.0000, 0.0000, 0.0000), Nb at (0.2500, 0.2500, 0.2500) and Au at (0.0000, 0.0000, 0.5000).

Its size of the total moment is 0.00 μB/atom.

Entry b
Entry from Alexandria: NaNb2Au after structural relaxation (GGA-PBE).

The structure belongs to space group I-42d (No. 122); the cell edges are 7.8880, 7.8880 and 5.2740 Å and the angles 90.00°, 90.00° and 90.00°. The asymmetric unit holds Na at (0.0000, 0.0000, 0.0000), Nb at (0.2230, 0.2500, 0.6250) and Au at (0.0000, 0.0000, 0.5000).

Its size of the total moment is 0.00 μB/atom.

Top of the stability list: entry a, leading by 7.3 kJ/mol of atoms.

Entry a
Entry from Alexandria: NaNdAu after structural relaxation (GGA-PBE).

The structure belongs to space group I4mm (No. 107); the cell edges are 3.8277, 3.8277 and 11.5517 Å and the angles 90.00°, 90.00° and 90.00°. The asymmetric unit holds Na at (0.0000, 0.0000, 0.0000), Nd at (0.0000, 0.0000, 0.2804) and Au at (0.0000, 0.0000, 0.6595).

Its size of the total moment is 0.00 μB/atom.

Entry b
Entry from Alexandria: NaNdAu after structural relaxation (GGA-PBE).

The structure belongs to space group C2/m (No. 12); the cell edges are 6.1611, 5.9675 and 9.7294 Å and the angles 90.00°, 108.20° and 90.00°. The asymmetric unit holds Na at (0.2368, 0.0000, 0.4991), Nd at (0.1828, 0.5000, 0.8624) and Au at (0.1515, 0.0000, 0.7991).

Its size of the total moment is 0.00 μB/atom.

Top of the stability list: entry b, leading by 6.3 kJ/mol of atoms.

Entry a
Entry from Alexandria: NaNdAu2 after structural relaxation (GGA-PBE).

The structure belongs to space group R3m (No. 160, hexagonal axes); the cell edges are 4.1942, 4.1942 and 21.4884 Å and the angles 90.00°, 90.00° and 120.00°. The asymmetric unit holds Na at (0.0000, 0.0000, 0.0000), Nd at (0.0000, 0.0000, 0.1715), Au at (0.0000, 0.0000, 0.5886) and Au at (0.0000, 0.0000, 0.7512).

Its size of the total moment is 0.00 μB/atom.

Entry b
Entry from Alexandria: NaNdAu2 after structural relaxation (GGA-PBE).

The structure belongs to space group Fm-3m (No. 225); the cell edges are 7.2220, 7.2220 and 7.2220 Å and the angles 90.00°, 90.00° and 90.00°. The asymmetric unit holds Na at (0.0000, 0.0000, 0.0000), Nd at (0.0000, 0.0000, 0.5000) and Au at (0.2500, 0.2500, 0.2500).

Its size of the total moment is 0.00 μB/atom.

Top of the stability list: entry b, leading by 13.2 kJ/mol of atoms.

Entry a
Entry from Alexandria: NaNi2Au2 after structural relaxation (GGA-PBE).

The structure belongs to space group I4/mmm (No. 139); the cell edges are 4.4978, 4.4978 and 9.1479 Å and the angles 90.00°, 90.00° and 90.00°. The asymmetric unit holds Na at (0.0000, 0.0000, 0.0000), Ni at (0.0000, 0.0000, 0.3780) and Au at (0.0000, 0.5000, 0.2500).

Its size of the total moment is 0.13 μB/atom.

Entry b
Entry from Alexandria: NaNi2Au2 after structural relaxation (GGA-PBE).

The structure belongs to space group I4/mmm (No. 139); the cell edges are 3.6523, 3.6523 and 13.0308 Å and the angles 90.00°, 90.00° and 90.00°. The asymmetric unit holds Na at (0.0000, 0.0000, 0.0000), Ni at (0.0000, 0.5000, 0.2500) and Au at (0.0000, 0.0000, 0.3934).

Its size of the total moment is 0.24 μB/atom.

Top of the stability list: entry b, leading by 6.8 kJ/mol of atoms.